(1)
NdEr6Mg (PBE, optimized geometry); total DFT energy (no corrections) = -4.0155 eV/atom; energy relative to the lowest polymorph listed for this composition = 163 meV/atom; energy of formation from the pure elements = 0.202 eV/atom
1.0
-0.440 -6.451 1.276
4.753 3.621 2.780
-8.230 4.095 0.997
Mg Er Nd
1 6 1
direct
0.000 0.000 0.000
0.760 0.331 0.756
0.240 0.669 0.244
0.669 0.240 0.244
0.187 0.187 0.756
0.813 0.813 0.244
0.331 0.760 0.756
0.500 0.500 0.500



(2)
Cu3TcSe (PBE, optimized geometry); total DFT energy (no corrections) = -3.7841 eV/atom; ΔE_f (raw) = 1.4437 eV per atom; energy relative to the lowest polymorph listed for this composition = 378 meV/atom
1.0
4.646 0.000 0.000
0.000 4.646 0.000
0.000 0.000 4.646
Cu Tc Se
3 1 1
direct
0.500 0.000 0.000
0.000 0.000 0.500
0.000 0.500 0.000
0.000 0.000 0.000
0.500 0.500 0.500



(3)
NaHfF2 (PBE, optimized geometry); total DFT energy (no corrections) = -5.6440 eV/atom; ΔE_f (raw) = -1.8903 eV per atom; energy relative to the lowest polymorph listed for this composition = 453 meV/atom
1.0
1.741 0.000 8.123
-0.870 1.507 8.123
-0.870 -1.507 8.123
F Na Hf
2 1 1
direct
0.101 0.101 0.101
0.899 0.899 0.899
0.000 0.000 0.000
0.500 0.500 0.500